Entry 1:
# KBaMo2 GGA-PBE relaxed
data_KBaMo2
_chemical_formula_sum 'K1 Ba1 Mo2'
_symmetry_space_group_name_H-M 'P 1'
_symmetry_Int_Tables_number 1
_symmetry_space_group_name_Hall 'P 1'
_cell_length_a 6.5049
_cell_length_b 6.5049
_cell_length_c 9.2087
_cell_angle_alpha 119.04
_cell_angle_beta 119.04
_cell_angle_gamma 30.01
loop_
_atom_site_label
_atom_site_type_symbol
_atom_site_fract_x
_atom_site_fract_y
_atom_site_fract_z
_atom_site_occupancy
K1 K 0.0000 0.0000 0.0000 1
Ba1 Ba 0.0000 0.0000 0.5000 1
Mo1 Mo 0.2921 0.2921 0.6022 1
Mo2 Mo 0.7079 0.7079 0.3978 1
# Space-group type = C2/m, No. 12
# Distance to the lowest polymorph of the same formula = 335 meV per atom



Entry 2:
# Y2TiRh2 GGA-PBE relaxed
data_Y2TiRh2
_chemical_formula_sum 'Y4 Ti2 Rh4'
_symmetry_space_group_name_H-M 'P 1'
_symmetry_Int_Tables_number 1
_symmetry_space_group_name_Hall 'P 1'
_cell_length_a 5.8596
_cell_length_b 5.8596
_cell_length_c 7.4002
_cell_angle_alpha 100.75
_cell_angle_beta 100.75
_cell_angle_gamma 58.46
loop_
_atom_site_label
_atom_site_type_symbol
_atom_site_fract_x
_atom_site_fract_y
_atom_site_fract_z
_atom_site_occupancy
Y1 Y 0.0234 0.2724 0.1477 1
Y2 Y 0.2724 0.0234 0.6477 1
Y3 Y 0.7276 0.9766 0.3523 1
Y4 Y 0.9766 0.7276 0.8523 1
Ti1 Ti 0.3907 0.6093 0.2500 1
Ti2 Ti 0.6093 0.3907 0.7500 1
Rh1 Rh 0.2310 0.5059 0.4996 1
Rh2 Rh 0.4941 0.7690 0.0004 1
Rh3 Rh 0.5059 0.2310 0.9996 1
Rh4 Rh 0.7690 0.4941 0.5004 1
# Space-group type = C2/c, No. 15
# Distance to the lowest polymorph of the same formula = 0 meV per atom



- Among the records above, which one has the lowest distance to the lowest polymorph of the same formula?
  Y2TiRh2



- The lowest distance to the lowest polymorph of the same formula belongs to which entry?
  Y2TiRh2



- Among the records above, which one has the highest distance to the lowest polymorph of the same formula?
  KBaMo2